No. 1
Density functional theory data (PBE-GGA) for an optimized crystal structure of YNi4Au8.

Geometry as extended XYZ:
```
13
Lattice="-4.538 4.538 2.648 4.538 -4.538 2.648 4.538 4.538 -2.648" Properties=species:S:1:pos:R:3 pbc="T T T"
Y 0.000 0.000 0.000
Ni 2.269 2.269 -1.324
Ni 2.269 -2.269 1.324
Ni -2.269 2.269 1.324
Ni 2.269 2.269 1.324
Au 3.014 0.000 0.000
Au 6.062 0.000 0.000
Au 4.538 2.545 0.000
Au 0.000 3.014 0.000
Au 2.545 4.538 0.000
Au 1.993 0.000 2.648
Au 0.000 6.062 0.000
Au 0.000 1.993 2.648
```

Properties
Magnetization   0.00 μB/f.u.
Energy   -4.49 eV/atom
E_form   -2.54 eV/f.u.

No. 2
Density functional theory data (PBE-GGA) for an optimized crystal structure of Y4NiAu3.

Geometry as extended XYZ:
```
8
Lattice="3.762 0.000 0.000 0.000 4.638 0.000 0.000 0.000 10.724" Properties=species:S:1:pos:R:3 pbc="T T T"
Y 0.000 0.000 0.000
Y 0.000 2.319 2.826
Y 1.881 0.000 5.099
Y 1.881 2.319 8.249
Ni 1.881 0.000 2.225
Au 0.000 0.000 7.677
Au 0.000 2.319 5.787
Au 1.881 2.319 0.528
```

Properties
Magnetization   0.00 μB/f.u.
Energy   -5.94 eV/atom
E_form   -6.08 eV/f.u.

No. 3
Density functional theory data (PBE-GGA) for an optimized crystal structure of YNi3Au.

Geometry as extended XYZ:
```
5
Lattice="4.660 0.000 0.000 0.000 4.660 0.000 0.000 0.000 4.660" Properties=species:S:1:pos:R:3 pbc="T T T"
Y 0.000 0.000 0.000
Ni 0.000 2.330 2.330
Ni 2.330 0.000 2.330
Ni 2.330 2.330 0.000
Au 2.330 2.330 2.330
```

Properties
Magnetization   0.00 μB/f.u.
Energy   -4.86 eV/atom
Excess energy over the best structure of this formula in the dataset   0 meV per atom
E_form   2.79 eV/f.u.